Record 1
Compound: ScBe2Mo
Source: Alexandria via LeMat-Bulk
Functional: PBEsol
Structure: optimized geometry

The structure in extended XYZ format:
```
4
Lattice="2.729 0.000 0.000 1.364 2.363 0.000 1.364 0.788 8.631" Properties=species:S:1:pos:R:3 pbc="T T T"
Be 4.093 2.363 6.615
Be 1.364 0.788 8.342
Mo 2.729 1.575 4.586
Sc 1.364 0.788 2.034
```

Summary:
* energy relative to the elements: 2.049 eV/f.u.

=====

Record 2
Compound: HgSbPb
Source: Alexandria via LeMat-Bulk
Functional: PBEsol
Structure: optimized geometry

The structure in extended XYZ format:
```
3
Lattice="3.395 0.000 0.000 0.000 5.209 0.000 0.000 -2.604 4.511" Properties=species:S:1:pos:R:3 pbc="T T T"
Hg 0.154 0.000 0.000
Sb 1.031 2.604 1.504
Pb 2.210 0.000 3.007
```

Summary:
* raw formation energy: 59 meV/atom

=====

Record 3
Compound: CoNiH24S2O20
Source: Alexandria via LeMat-Bulk
Functional: PBEsol
Structure: optimized geometry

The structure in extended XYZ format:
```
96
Lattice="6.039 0.021 0.019 -1.942 5.718 -0.019 -2.514 -2.537 23.820" Properties=species:S:1:pos:R:3 pbc="T T T"
H 0.026 2.627 10.044
H 2.296 5.339 1.856
H 3.193 4.162 4.773
H -1.468 2.499 10.612
H -0.547 0.127 12.052
H 0.027 1.872 22.212
H -0.004 1.179 19.067
H -2.397 1.447 23.668
H 2.515 0.646 10.312
H 1.874 3.480 15.627
H 3.979 1.756 0.152
H 1.587 2.024 4.752
H 2.661 3.885 1.288
H 3.050 0.703 13.208
H 1.556 1.330 1.608
H -1.078 -0.682 22.532
H 1.556 0.575 13.776
H 2.130 3.076 11.768
H -2.188 3.446 17.611
H 0.613 1.069 8.138
H 3.771 -0.244 6.209
H -3.457 3.200 19.295
H 2.961 0.110 16.693
H 3.206 -0.655 9.724
H 3.161 0.900 7.167
H -1.578 2.302 16.653
H -0.291 -0.278 8.193
H -0.719 3.668 1.213
H 1.456 -0.306 16.425
H -1.624 3.858 14.096
H -1.610 -0.959 19.047
H 2.156 3.970 13.132
H 2.574 -0.331 3.781
H -0.714 -2.137 21.964
H 0.306 2.229 5.711
H 1.482 1.641 21.624
H -0.348 4.095 3.707
H 2.302 -0.466 22.607
H 0.101 1.561 2.195
H 1.931 -0.892 20.112
H 1.276 0.973 18.109
H -0.933 2.557 13.508
H -1.378 3.093 7.127
H -0.574 -0.767 10.688
H 0.127 3.508 7.395
H -0.991 3.533 20.039
H 0.970 2.134 15.682
H 5.039 0.002 4.525
O 1.450 -1.524 19.513
O -1.002 2.809 2.756
O 1.136 2.700 8.685
O 2.909 2.296 10.286
O 1.640 3.730 12.323
O -0.057 -0.528 11.497
O 3.946 0.694 3.235
O 2.101 0.552 12.947
O -1.361 0.445 19.800
O -0.803 3.536 13.640
O 0.132 4.727 4.307
O 3.414 2.422 7.900
O 2.495 4.831 1.027
O 0.768 1.645 18.644
O 2.802 4.425 9.144
O -0.565 3.487 6.679
O -1.719 -1.856 18.598
O 0.911 2.313 22.080
O 1.432 2.820 16.227
O 0.151 0.382 7.593
O -1.327 0.907 13.534
O 2.988 2.240 1.633
O 0.446 0.503 15.135
O -0.661 4.234 0.404
O -2.364 2.508 20.585
O 2.943 2.758 4.020
O 2.585 0.394 21.064
O 2.386 -0.334 10.180
O 2.970 0.018 6.744
O -1.831 0.781 15.920
O 2.148 -0.285 17.141
O -1.388 3.184 17.076
O 2.243 -1.032 23.416
O 0.814 1.557 5.176
O -1.220 -1.223 14.675
O -1.406 0.963 22.186
O -0.519 2.650 10.873
O 3.302 5.059 5.222
O 0.671 0.890 1.740
O -0.913 -1.629 22.792
Ni 1.119 -0.295 5.960
Ni 0.463 3.498 17.860
S -0.989 0.243 14.830
S 2.572 2.959 8.989
S -2.143 1.066 20.890
S 3.725 2.136 2.930
Co 1.762 -1.258 11.919
Co 0.000 0.000 0.000
```

Summary:
* VASP energy: -5.398 eV/atom

=====

| no. | spin magnetization (Bohr magnetons per cell) |
| --- | --- |
| 1 | 0.00 |
| 2 | 0.00 |
| 3 | 10.00 |